A plane-wave DFT calculation with GGA-PBEsol was carried out for a geometry-optimized FeRe2Ni structure.

Computed properties:
- formation energy (eV per atom) = 0.21
- SG = F-43m
- energy above the lowest structure with this stoichiometry (meV per atom) = 189
- total DFT energy (no corrections) (eV/atom) = -10.2353
- M_tot (μB per formula unit) = 1.92

abc: 5.9104 5.9104 5.9104
angles: 90.00 90.00 90.00
Last column: nearest neighbours and their distance in Å.
Sites, in units of the cell vectors:
Fe: 0.0000 0.0000 0.0000  4 Ni 2.56, 4 Re 2.56
Fe: 0.0000 0.5000 0.5000  4 Ni 2.56, 4 Re 2.56
Fe: 0.5000 0.0000 0.5000  4 Ni 2.56, 4 Re 2.56
Fe: 0.5000 0.5000 0.0000  4 Re 2.56, 4 Ni 2.56
Re: 0.0000 0.0000 0.5000  4 Re 2.56, 4 Ni 2.56
Re: 0.0000 0.5000 0.0000  4 Re 2.56, 4 Ni 2.56
Re: 0.2500 0.2500 0.2500  4 Fe 2.56, 4 Re 2.56
Re: 0.2500 0.7500 0.7500  4 Fe 2.56, 4 Re 2.56
Re: 0.5000 0.0000 0.0000  4 Re 2.56, 4 Ni 2.56
Re: 0.5000 0.5000 0.5000  4 Re 2.56, 4 Ni 2.56
Re: 0.7500 0.2500 0.7500  4 Fe 2.56, 4 Re 2.56
Re: 0.7500 0.7500 0.2500  4 Fe 2.56, 4 Re 2.56
Ni: 0.2500 0.2500 0.7500  4 Fe 2.56, 4 Re 2.56
Ni: 0.2500 0.7500 0.2500  4 Fe 2.56, 4 Re 2.56
Ni: 0.7500 0.2500 0.2500  4 Fe 2.56, 4 Re 2.56
Ni: 0.7500 0.7500 0.7500  4 Fe 2.56, 4 Re 2.56